[1]
First-principles (PBE) data for crystalline SmTh2Se4 at its relaxed geometry, as listed in Alexandria.

Structure (CIF):
```
data_SmTh2Se4
_chemical_formula_sum 'Sm4 Th8 Se16'
_space_group_name_H-M_alt 'I -4 2 d'
_space_group_IT_number 122
_space_group_name_Hall 'I -4 2bw'
_cell_length_a 8.8220
_cell_length_b 8.8220
_cell_length_c 8.9406
_cell_angle_alpha 90.00
_cell_angle_beta 90.00
_cell_angle_gamma 90.00
loop_
_atom_site_label
_atom_site_fract_x
_atom_site_fract_y
_atom_site_fract_z
Sm1 0.0000 0.0000 0.0000
Th1 0.1223 0.2500 0.6250
Se1 0.0776 0.1752 0.2972
```

Calculated values
energy above the lowest structure with this stoichiometry: 0 meV/atom
crystal system: tetragonal

=====

[2]
First-principles (PBE) data for crystalline Sm3Th5Se8 at its relaxed geometry, as listed in Alexandria.

Structure (CIF):
```
data_Sm3Th5Se8
_chemical_formula_sum 'Sm9 Th15 Se24'
_space_group_name_H-M_alt 'R -3 m'
_space_group_IT_number 166
_space_group_name_Hall '-R 3 2"'
_cell_length_a 8.3175
_cell_length_b 8.3175
_cell_length_c 20.8413
_cell_angle_alpha 90.00
_cell_angle_beta 90.00
_cell_angle_gamma 120.00
loop_
_atom_site_label
_atom_site_fract_x
_atom_site_fract_y
_atom_site_fract_z
Sm1 0.0000 0.5000 0.0000
Th1 0.0000 0.0000 0.0000
Th2 0.0000 0.0000 0.5000
Th3 0.0000 0.5000 0.5000
Se1 0.0000 0.0000 0.2522
Se2 0.0031 0.5016 0.2517
```

Calculated values
crystal system: trigonal

=====

[3]
First-principles (PBE) data for crystalline Sm5ThSe6 at its relaxed geometry, as listed in Alexandria.

Structure (CIF):
```
data_Sm5ThSe6
_chemical_formula_sum 'Sm10 Th2 Se12'
_space_group_name_H-M_alt 'C 1 2/m 1'
_space_group_IT_number 12
_cell_length_a 7.2133
_cell_length_b 12.5551
_cell_length_c 7.2544
_cell_angle_alpha 90.00
_cell_angle_beta 109.66
_cell_angle_gamma 90.00
loop_
_space_group_symop_operation_xyz
'x,y,z'
'-x,-y,-z'
'-x,y,-z'
'x,-y,z'
'x+1/2,y+1/2,z'
'-x+1/2,-y+1/2,-z'
'-x+1/2,y+1/2,-z'
'x+1/2,-y+1/2,z'
loop_
_atom_site_label
_atom_site_fract_x
_atom_site_fract_y
_atom_site_fract_z
Sm1 0.0000 0.0000 0.0000
Sm2 0.0000 0.1667 0.5000
Sm3 0.0000 0.3319 0.0000
Th1 0.0000 0.5000 0.5000
Se1 0.2495 0.0000 0.7522
Se2 0.2490 0.1673 0.2492
```

Calculated values
crystal system: monoclinic

=====

[4]
First-principles (PBE) data for crystalline Sm2ThSe4 at its relaxed geometry, as listed in Alexandria.

Structure (CIF):
```
data_Sm2ThSe4
_chemical_formula_sum 'Sm8 Th4 Se16'
_space_group_name_H-M_alt 'I m m a'
_space_group_IT_number 74
_space_group_name_Hall '-I 2b 2'
_cell_length_a 8.3350
_cell_length_b 8.3995
_cell_length_c 11.6406
_cell_angle_alpha 90.00
_cell_angle_beta 90.00
_cell_angle_gamma 90.00
loop_
_atom_site_label
_atom_site_fract_x
_atom_site_fract_y
_atom_site_fract_z
Sm1 0.0000 0.0000 0.0000
Sm2 0.2500 0.2500 0.2500
Th1 0.0000 0.0000 0.5000
Se1 0.0000 0.0020 0.2507
Se2 0.2487 0.2500 0.9928
```

Calculated values
energy above the lowest structure with this stoichiometry: 0 meV/atom
crystal system: orthorhombic

=====

[5]
First-principles (PBE) data for crystalline Sm3ThTl4Se8 at its relaxed geometry, as listed in Alexandria.

Structure (CIF):
```
data_Sm3ThTl4Se8
_chemical_formula_sum 'Sm9 Th3 Tl12 Se24'
_space_group_name_H-M_alt 'R -3 m'
_space_group_IT_number 166
_space_group_name_Hall '-R 3 2"'
_cell_length_a 8.5021
_cell_length_b 8.5021
_cell_length_c 23.4859
_cell_angle_alpha 90.00
_cell_angle_beta 90.00
_cell_angle_gamma 120.00
loop_
_atom_site_label
_atom_site_fract_x
_atom_site_fract_y
_atom_site_fract_z
Sm1 0.0000 0.5000 0.0000
Th1 0.0000 0.0000 0.0000
Tl1 0.0000 0.0000 0.5000
Tl2 0.0000 0.5000 0.5000
Se1 0.0000 0.0000 0.2631
Se2 0.0030 0.5015 0.7372
```

Calculated values
crystal system: trigonal

=====

[6]
First-principles (PBE) data for crystalline Sm2ThTl3Se6 at its relaxed geometry, as listed in Alexandria.

Structure (CIF):
```
data_Sm2ThTl3Se6
_chemical_formula_sum 'Sm4 Th2 Tl6 Se12'
_space_group_name_H-M_alt 'C 1 2/m 1'
_space_group_IT_number 12
_cell_length_a 7.3465
_cell_length_b 12.7249
_cell_length_c 8.2323
_cell_angle_alpha 90.00
_cell_angle_beta 107.30
_cell_angle_gamma 90.00
loop_
_space_group_symop_operation_xyz
'x,y,z'
'-x,-y,-z'
'-x,y,-z'
'x,-y,z'
'x+1/2,y+1/2,z'
'-x+1/2,-y+1/2,-z'
'-x+1/2,y+1/2,-z'
'x+1/2,-y+1/2,z'
loop_
_atom_site_label
_atom_site_fract_x
_atom_site_fract_y
_atom_site_fract_z
Sm1 0.0000 0.1665 0.0000
Th1 0.0000 0.5000 0.0000
Tl1 0.0000 0.0000 0.5000
Tl2 0.0000 0.3318 0.5000
Se1 0.2357 0.3349 0.2120
Se2 0.2409 0.0000 0.2130
```

Calculated values
crystal system: monoclinic

=====

[7]
First-principles (PBE) data for crystalline Sm3TmTh2Se6 at its relaxed geometry, as listed in Alexandria.

Structure (CIF):
```
data_Sm3TmTh2Se6
_chemical_formula_sum 'Sm6 Tm2 Th4 Se12'
_space_group_name_H-M_alt 'C 1 2/m 1'
_space_group_IT_number 12
_cell_length_a 18.1342
_cell_length_b 4.1453
_cell_length_c 8.3565
_cell_angle_alpha 90.00
_cell_angle_beta 103.15
_cell_angle_gamma 90.00
loop_
_space_group_symop_operation_xyz
'x,y,z'
'-x,-y,-z'
'-x,y,-z'
'x,-y,z'
'x+1/2,y+1/2,z'
'-x+1/2,-y+1/2,-z'
'-x+1/2,y+1/2,-z'
'x+1/2,-y+1/2,z'
loop_
_atom_site_label
_atom_site_fract_x
_atom_site_fract_y
_atom_site_fract_z
Sm1 0.0000 0.0000 0.0000
Sm2 0.1702 0.5000 0.3333
Tm1 0.0000 0.0000 0.5000
Th1 0.1695 0.5000 0.8399
Se1 0.0009 0.5000 0.2618
Se2 0.1615 0.0000 0.5790
Se3 0.1637 0.0000 0.0887
```

Calculated values
crystal system: monoclinic

=====

[8]
First-principles (PBE) data for crystalline Sm2TmTh3Se6 at its relaxed geometry, as listed in Alexandria.

Structure (CIF):
```
data_Sm2TmTh3Se6
_chemical_formula_sum 'Sm4 Tm2 Th6 Se12'
_space_group_name_H-M_alt 'C 1 2/m 1'
_space_group_IT_number 12
_cell_length_a 18.5410
_cell_length_b 4.0821
_cell_length_c 8.5029
_cell_angle_alpha 90.00
_cell_angle_beta 107.99
_cell_angle_gamma 90.00
loop_
_space_group_symop_operation_xyz
'x,y,z'
'-x,-y,-z'
'-x,y,-z'
'x,-y,z'
'x+1/2,y+1/2,z'
'-x+1/2,-y+1/2,-z'
'-x+1/2,y+1/2,-z'
'x+1/2,-y+1/2,z'
loop_
_atom_site_label
_atom_site_fract_x
_atom_site_fract_y
_atom_site_fract_z
Sm1 0.1668 0.0000 0.3329
Tm1 0.0000 0.5000 0.0000
Th1 0.0000 0.5000 0.5000
Th2 0.1686 0.0000 0.8335
Se1 0.0006 0.0000 0.2357
Se2 0.1605 0.5000 0.0840
Se3 0.1685 0.5000 0.5782
```

Calculated values
crystal system: monoclinic

=====

[9]
First-principles (PBE) data for crystalline Sm4TmTh3Se8 at its relaxed geometry, as listed in Alexandria.

Structure (CIF):
```
data_Sm4TmTh3Se8
_chemical_formula_sum 'Sm12 Tm3 Th9 Se24'
_space_group_name_H-M_alt 'R -3 m'
_space_group_IT_number 166
_space_group_name_Hall '-R 3 2"'
_cell_length_a 8.2864
_cell_length_b 8.2864
_cell_length_c 20.6450
_cell_angle_alpha 90.00
_cell_angle_beta 90.00
_cell_angle_gamma 120.00
loop_
_atom_site_label
_atom_site_fract_x
_atom_site_fract_y
_atom_site_fract_z
Sm1 0.0000 0.0000 0.0000
Sm2 0.0000 0.5000 0.0000
Tm1 0.0000 0.0000 0.5000
Th1 0.0000 0.5000 0.5000
Se1 0.0000 0.0000 0.2522
Se2 0.0092 0.5046 0.2495
```

Calculated values
crystal system: trigonal

=====

[10]
First-principles (PBE) data for crystalline Sm3Tm2ThSe6 at its relaxed geometry, as listed in Alexandria.

Structure (CIF):
```
data_Sm3Tm2ThSe6
_chemical_formula_sum 'Sm6 Tm4 Th2 Se12'
_space_group_name_H-M_alt 'C 1 2/m 1'
_space_group_IT_number 12
_cell_length_a 17.9245
_cell_length_b 4.0867
_cell_length_c 8.3499
_cell_angle_alpha 90.00
_cell_angle_beta 101.91
_cell_angle_gamma 90.00
loop_
_space_group_symop_operation_xyz
'x,y,z'
'-x,-y,-z'
'-x,y,-z'
'x,-y,z'
'x+1/2,y+1/2,z'
'-x+1/2,-y+1/2,-z'
'-x+1/2,y+1/2,-z'
'x+1/2,-y+1/2,z'
loop_
_atom_site_label
_atom_site_fract_x
_atom_site_fract_y
_atom_site_fract_z
Sm1 0.0000 0.0000 0.0000
Sm2 0.1585 0.5000 0.3349
Tm1 0.1652 0.5000 0.8315
Th1 0.0000 0.0000 0.5000
Se1 0.0068 0.5000 0.7587
Se2 0.1710 0.0000 0.0770
Se3 0.1720 0.0000 0.5982
```

Calculated values
crystal system: monoclinic

=====

[11]
First-principles (PBE) data for crystalline SmTmTh2Se4 at its relaxed geometry, as listed in Alexandria.

Structure (CIF):
```
data_SmTmTh2Se4
_chemical_formula_sum 'Sm1 Tm1 Th2 Se4'
_space_group_name_H-M_alt 'P 1 2/m 1'
_space_group_IT_number 10
_cell_length_a 6.9959
_cell_length_b 4.0781
_cell_length_c 7.4754
_cell_angle_alpha 90.00
_cell_angle_beta 108.51
_cell_angle_gamma 90.00
loop_
_space_group_symop_operation_xyz
'x,y,z'
'-x,-y,-z'
'-x,y,-z'
'x,-y,z'
loop_
_atom_site_label
_atom_site_fract_x
_atom_site_fract_y
_atom_site_fract_z
Sm1 0.0000 0.0000 0.0000
Tm1 0.5000 0.5000 0.0000
Th1 0.0000 0.5000 0.5000
Th2 0.5000 0.0000 0.5000
Se1 0.2528 0.5000 0.2375
Se2 0.2623 0.0000 0.7670
```

Calculated values
crystal system: monoclinic

=====

[12]
First-principles (PBE) data for crystalline SmY2Th3Se6 at its relaxed geometry, as listed in Alexandria.

Structure (CIF):
```
data_SmY2Th3Se6
_chemical_formula_sum 'Sm2 Y4 Th6 Se12'
_space_group_name_H-M_alt 'C 1 2/m 1'
_space_group_IT_number 12
_cell_length_a 7.0497
_cell_length_b 12.0966
_cell_length_c 7.5219
_cell_angle_alpha 90.00
_cell_angle_beta 107.87
_cell_angle_gamma 90.00
loop_
_space_group_symop_operation_xyz
'x,y,z'
'-x,-y,-z'
'-x,y,-z'
'x,-y,z'
'x+1/2,y+1/2,z'
'-x+1/2,-y+1/2,-z'
'-x+1/2,y+1/2,-z'
'x+1/2,-y+1/2,z'
loop_
_atom_site_label
_atom_site_fract_x
_atom_site_fract_y
_atom_site_fract_z
Sm1 0.0000 0.0000 0.0000
Y1 0.0000 0.3326 0.0000
Th1 0.0000 0.1636 0.5000
Th2 0.0000 0.5000 0.5000
Se1 0.2395 0.5000 0.2344
Se2 0.2488 0.1691 0.2383
```

Calculated values
crystal system: monoclinic

=====

[13]
First-principles (PBE) data for crystalline Sm3Y2ThSe6 at its relaxed geometry, as listed in Alexandria.

Structure (CIF):
```
data_Sm3Y2ThSe6
_chemical_formula_sum 'Sm6 Y4 Th2 Se12'
_space_group_name_H-M_alt 'C 1 2/m 1'
_space_group_IT_number 12
_cell_length_a 18.0376
_cell_length_b 4.1367
_cell_length_c 8.3406
_cell_angle_alpha 90.00
_cell_angle_beta 102.52
_cell_angle_gamma 90.00
loop_
_space_group_symop_operation_xyz
'x,y,z'
'-x,-y,-z'
'-x,y,-z'
'x,-y,z'
'x+1/2,y+1/2,z'
'-x+1/2,-y+1/2,-z'
'-x+1/2,y+1/2,-z'
'x+1/2,-y+1/2,z'
loop_
_atom_site_label
_atom_site_fract_x
_atom_site_fract_y
_atom_site_fract_z
Sm1 0.0000 0.0000 0.0000
Sm2 0.1619 0.5000 0.3342
Y1 0.1647 0.5000 0.8301
Th1 0.0000 0.0000 0.5000
Se1 0.0033 0.5000 0.7564
Se2 0.1697 0.0000 0.0795
Se3 0.1703 0.0000 0.5912
```

Calculated values
crystal system: monoclinic

=====

[14]
First-principles (PBE) data for crystalline Sm3YTh2Se6 at its relaxed geometry, as listed in Alexandria.

Structure (CIF):
```
data_Sm3YTh2Se6
_chemical_formula_sum 'Sm6 Y2 Th4 Se12'
_space_group_name_H-M_alt 'C 1 2/m 1'
_space_group_IT_number 12
_cell_length_a 18.1982
_cell_length_b 4.1655
_cell_length_c 8.3548
_cell_angle_alpha 90.00
_cell_angle_beta 103.39
_cell_angle_gamma 90.00
loop_
_space_group_symop_operation_xyz
'x,y,z'
'-x,-y,-z'
'-x,y,-z'
'x,-y,z'
'x+1/2,y+1/2,z'
'-x+1/2,-y+1/2,-z'
'-x+1/2,y+1/2,-z'
'x+1/2,-y+1/2,z'
loop_
_atom_site_label
_atom_site_fract_x
_atom_site_fract_y
_atom_site_fract_z
Sm1 0.0000 0.0000 0.0000
Sm2 0.1686 0.5000 0.3326
Y1 0.0000 0.0000 0.5000
Th1 0.1695 0.5000 0.8398
Se1 0.0002 0.5000 0.2565
Se2 0.1637 0.0000 0.0884
Se3 0.1638 0.0000 0.5803
```

Calculated values
crystal system: monoclinic

=====

[15]
First-principles (PBE) data for crystalline SmTi2Se4 at its relaxed geometry, as listed in Alexandria.

Structure (CIF):
```
data_SmTi2Se4
_chemical_formula_sum 'Sm4 Ti8 Se16'
_space_group_name_H-M_alt 'C m c m'
_space_group_IT_number 63
_space_group_name_Hall '-C 2c 2'
_cell_length_a 3.8685
_cell_length_b 12.2463
_cell_length_c 13.1364
_cell_angle_alpha 90.00
_cell_angle_beta 90.00
_cell_angle_gamma 90.00
loop_
_atom_site_label
_atom_site_fract_x
_atom_site_fract_y
_atom_site_fract_z
Sm1 0.0000 0.1292 0.2500
Ti1 0.0000 0.3808 0.0627
Se1 0.0000 0.0000 0.0000
Se2 0.0000 0.2681 0.6096
Se3 0.0000 0.4504 0.2500
```

Calculated values
crystal system: orthorhombic

=====

[16]
First-principles (PBE) data for crystalline Sm3Ti5Se12 at its relaxed geometry, as listed in Alexandria.

Structure (CIF):
```
data_Sm3Ti5Se12
_chemical_formula_sum 'Sm24 Ti40 Se96'
_space_group_name_H-M_alt 'I a -3 d'
_space_group_IT_number 230
_space_group_name_Hall '-I 4bd 2c 3'
_cell_length_a 16.0159
_cell_length_b 16.0159
_cell_length_c 16.0159
_cell_angle_alpha 90.00
_cell_angle_beta 90.00
_cell_angle_gamma 90.00
loop_
_atom_site_label
_atom_site_fract_x
_atom_site_fract_y
_atom_site_fract_z
Sm1 0.0000 0.2500 0.1250
Ti1 0.0000 0.0000 0.0000
Ti2 0.0000 0.2500 0.3750
Se1 0.0286 0.0611 0.6497
```

Calculated values
crystal system: cubic

=====

[17]
First-principles (PBE) data for crystalline SmTiSe at its relaxed geometry, as listed in Alexandria.

Structure (CIF):
```
data_SmTiSe
_chemical_formula_sum 'Sm4 Ti4 Se4'
_space_group_name_H-M_alt 'I m m m'
_space_group_IT_number 71
_space_group_name_Hall '-I 2 2'
_cell_length_a 3.7208
_cell_length_b 4.7034
_cell_length_c 15.9514
_cell_angle_alpha 90.00
_cell_angle_beta 90.00
_cell_angle_gamma 90.00
loop_
_atom_site_label
_atom_site_fract_x
_atom_site_fract_y
_atom_site_fract_z
Sm1 0.0000 0.0000 0.1639
Ti1 0.0000 0.2556 0.5000
Se1 0.0000 0.0000 0.3473
```

Calculated values
crystal system: orthorhombic

=====

Which formation energy from raw total energies belongs to each record? In order, -11.6; -26.2; -21.2; -12.6; -21.2; -15.7; -20.2; -19.6; -26.9; -20.6; -13.0; -19.8; -21.0; -20.4; -9.1; -25.1; -2.3 eV per formula unit.
Which N(E_F) belongs to each record? In order, 0.9074; 0.5021; 0.4158; 0.4230; 0.3820; 0.4852; 0.5966; 0.7265; 0.5173; 0.5070; 0.6792; 0.6648; 0.5682; 0.6143; 0.7159; 0.7902; 0.9750 states/eV/atom.